# MgSbPt3 | the Alexandria database | PBE | optimized geometry
data_MgSbPt3
_symmetry_space_group_name_H-M 'P m -3 m'
_symmetry_Int_Tables_number 221
_symmetry_space_group_name_Hall '-P 4 2 3'
_cell_length_a 4.943
_cell_length_b 4.943
_cell_length_c 4.943
_cell_angle_alpha 90.00
_cell_angle_beta 90.00
_cell_angle_gamma 90.00
loop_
_atom_site_label
_atom_site_fract_x
_atom_site_fract_y
_atom_site_fract_z
Mg1 0.000 0.000 0.000
Sb1 0.500 0.500 0.500
Pt1 0.000 0.500 0.500
# Energy relative to the lowest polymorph listed for this composition   0 meV per atom
# Calculated volume   120.8 Å³/f.u.
# Formation energy without anion corrections   397 meV/atom